(w)
First-principles (PBE) data for a geometry-optimized AcThPd2 structure, as listed in Alexandria via LeMat-Bulk.

Total moment: 0.0 μB/cell
Volume: 26.11 A^3/atom
Fermi-level density of states: 3.33 states/eV/cell

abc: 3.729 3.729 7.509
angles: 90.00 90.00 90.00
Space group P4/mmm (No. 123)
Asymmetric unit:
Ac1 0.000 0.000 0.000 [1 per cell]
Th1 0.000 0.000 0.500 [1 per cell]
Pd1 0.500 0.500 0.294 [2 per cell]



(x)
First-principles (PBE) data for a geometry-optimized AcThPd2 structure, as listed in Alexandria via LeMat-Bulk.

Total moment: 0.0 μB/cell
Volume: 25.64 A^3/atom
Fermi-level density of states: 19.15 states/eV/cell

abc: 7.430 7.430 7.430
angles: 90.00 90.00 90.00
Space group Fm-3m (No. 225)
Asymmetric unit:
Ac1 0.000 0.000 0.000 [4 per cell]
Th1 0.000 0.000 0.500 [4 per cell]
Pd1 0.250 0.250 0.250 [8 per cell]



Most stable one: (w), least stable one: (x).



(w)
First-principles (PBE) data for a geometry-optimized AcTiPd2 structure, as listed in Alexandria via LeMat-Bulk.

Total moment: 0.1 μB/cell
Volume: 23.25 A^3/atom
Fermi-level density of states: 13.36 states/eV/cell

abc: 4.4842 4.4842 16.0227
angles: 90.00 90.00 120.00
Space group R-3m (No. 166, hexagonal axes)
Asymmetric unit:
Ac1 0.0000 0.0000 0.0000 [3 per cell]
Ti1 0.0000 0.0000 0.5000 [3 per cell]
Pd1 0.0000 0.0000 0.2055 [6 per cell]



(x)
First-principles (PBE) data for a geometry-optimized AcTiPd2 structure, as listed in Alexandria via LeMat-Bulk.

Total moment: 0.0 μB/cell
Volume: 21.09 A^3/atom
Fermi-level density of states: 4.16 states/eV/cell

abc: 3.371 3.371 7.422
angles: 90.00 90.00 90.00
Space group P4/mmm (No. 123)
Asymmetric unit:
Ac1 0.000 0.000 0.000 [1 per cell]
Ti1 0.000 0.000 0.500 [1 per cell]
Pd1 0.500 0.500 0.313 [2 per cell]



Most stable one: (w), least stable one: (x).



(w)
First-principles (PBE) data for a geometry-optimized Ac3Tl2Pd4 structure, as listed in Alexandria via LeMat-Bulk.

Total moment: 0.0 μB/cell
Volume: 26.39 A^3/atom
Fermi-level density of states: 13.30 states/eV/cell

abc: 10.779 4.710 9.389
angles: 90.00 94.77 90.00
Space group C2/m (No. 12)
Asymmetric unit:
Ac1 0.000 0.000 0.000 [2 per cell]
Ac2 0.128 0.500 0.382 [4 per cell]
Tl1 0.174 0.500 0.781 [4 per cell]
Pd1 0.079 0.000 0.626 [4 per cell]
Pd2 0.220 0.500 0.084 [4 per cell]



(x)
First-principles (PBE) data for a geometry-optimized Ac3Tl2Pd4 structure, as listed in Alexandria via LeMat-Bulk.

Total moment: 0.0 μB/cell
Volume: 26.52 A^3/atom
Fermi-level density of states: 11.82 states/eV/cell

abc: 12.584 4.420 9.537
angles: 90.00 115.85 90.00
Space group C2/m (No. 12)
Asymmetric unit:
Ac1 0.000 0.000 0.000 [2 per cell]
Ac2 0.133 0.500 0.701 [4 per cell]
Tl1 0.165 0.500 0.334 [4 per cell]
Pd1 0.073 0.000 0.422 [4 per cell]
Pd2 0.207 0.500 0.058 [4 per cell]



Most stable one: (x), least stable one: (w).



(w)
First-principles (PBE) data for a geometry-optimized AcTl2Pd structure, as listed in Alexandria via LeMat-Bulk.

Total moment: 0.0 μB/cell
Volume: 27.83 A^3/atom
Fermi-level density of states: 2.18 states/eV/cell

abc: 4.532 4.532 5.421
angles: 90.00 90.00 90.00
Space group P4/mmm (No. 123)
Asymmetric unit:
Ac1 0.000 0.000 0.000 [1 per cell]
Tl1 0.000 0.500 0.500 [2 per cell]
Pd1 0.500 0.500 0.000 [1 per cell]



(x)
First-principles (PBE) data for a geometry-optimized AcTl2Pd structure, as listed in Alexandria via LeMat-Bulk.

Total moment: 0.0 μB/cell
Volume: 27.96 A^3/atom
Fermi-level density of states: 4.46 states/eV/cell

abc: 4.7795 4.7795 16.9587
angles: 90.00 90.00 120.00
Space group R-3m (No. 166, hexagonal axes)
Asymmetric unit:
Ac1 0.0000 0.0000 0.0000 [3 per cell]
Tl1 0.0000 0.0000 0.2193 [6 per cell]
Pd1 0.0000 0.0000 0.5000 [3 per cell]



Most stable one: (x), least stable one: (w).



(w)
First-principles (PBE) data for a geometry-optimized AcTl3Pd3 structure, as listed in Alexandria via LeMat-Bulk.

Total moment: 0.0 μB/cell
Volume: 25.01 A^3/atom
Fermi-level density of states: 8.85 states/eV/cell

abc: 9.3912 9.3912 4.5848
angles: 90.00 90.00 120.00
Space group P6_3/m (No. 176)
Asymmetric unit:
Ac1 0.3333 0.6667 0.2500 [2 per cell]
Tl1 0.0479 0.2851 0.7500 [6 per cell]
Pd1 0.0545 0.6028 0.7500 [6 per cell]



(x)
First-principles (PBE) data for a geometry-optimized AcTl3Pd3 structure, as listed in Alexandria via LeMat-Bulk.

Total moment: 0.0 μB/cell
Volume: 29.58 A^3/atom
Fermi-level density of states: 8.20 states/eV/cell

abc: 7.454 7.454 7.454
angles: 90.00 90.00 90.00
Space group Pm-3n (No. 223)
Asymmetric unit:
Ac1 0.000 0.000 0.000 [2 per cell]
Tl1 0.000 0.250 0.500 [6 per cell]
Pd1 0.000 0.500 0.250 [6 per cell]



(y)
First-principles (PBE) data for a geometry-optimized AcTl3Pd3 structure, as listed in Alexandria via LeMat-Bulk.

Total moment: 0.0 μB/cell
Volume: 25.81 A^3/atom
Fermi-level density of states: 20.89 states/eV/cell

abc: 8.6452 8.6452 16.7509
angles: 90.00 90.00 120.00
Space group R-3 (No. 148, hexagonal axes)
Asymmetric unit:
Ac1 0.0000 0.0000 0.1741 [6 per cell]
Tl1 0.0176 0.3042 0.6238 [18 per cell]
Pd1 0.0075 0.3003 0.4554 [18 per cell]



Most stable one: (w), least stable one: (x).



(w)
First-principles (PBE) data for a geometry-optimized Ac2TlPd6 structure, as listed in Alexandria via LeMat-Bulk.

Total moment: 0.0 μB/cell
Volume: 21.64 A^3/atom
Fermi-level density of states: 7.02 states/eV/cell

abc: 10.308 5.973 6.504
angles: 90.00 103.44 90.00
Space group C2/m (No. 12)
Asymmetric unit:
Ac1 0.138 0.000 0.311 [4 per cell]
Tl1 0.000 0.500 0.500 [2 per cell]
Pd1 0.122 0.500 0.172 [4 per cell]
Pd2 0.139 0.233 0.825 [8 per cell]



(x)
First-principles (PBE) data for a geometry-optimized Ac2TlPd6 structure, as listed in Alexandria via LeMat-Bulk.

Total moment: 0.0 μB/cell
Volume: 21.81 A^3/atom
Fermi-level density of states: 3.77 states/eV/cell

abc: 10.322 5.960 6.383
angles: 90.00 90.02 90.00
Space group C2/m (No. 12)
Asymmetric unit:
Ac1 0.168 0.000 0.288 [4 per cell]
Tl1 0.000 0.500 0.500 [2 per cell]
Pd1 0.087 0.238 0.828 [8 per cell]
Pd2 0.176 0.500 0.173 [4 per cell]



Most stable one: (x), least stable one: (w).